Computed, not measured: a geometry-optimized BaLiEu2 structure at the PBE level of DFT.

Cell: 6.1883 6.1883 6.1883 Å, 60.00 60.00 60.00°
With the nearest neighbours (Å) after each atom.
Positions (direct):
Ba (0.0000, 0.0000, 0.0000)  8 Eu 3.79
Li (0.5000, 0.5000, 0.5000)  8 Eu 3.79
Eu (0.2500, 0.2500, 0.2500)  4 Ba 3.79, 4 Li 3.79
Eu (0.7500, 0.7500, 0.7500)  4 Ba 3.79, 4 Li 3.79

Formation energy (eV per atom): 0.14
Polymorph energy (0 for the lowest one) (eV per atom): 0.076
Energy (eV/atom): -5.956
Calculated volume (Å³/cell): 167.6